1.
First-principles (PBE) data for crystalline ZrPIr2 at its relaxed geometry, as listed in Alexandria.

Summary:
Calculated formation energy: -12.41 kcal/mol of atoms
DFT total energy: -33.83 eV for the cell shown
Space-group type: Amm2, No. 38

Cell: 5.6330 5.6330 3.8775 Å, 90.00 90.00 149.08°
Closest atoms and distances in Å follow each position.
Atoms (fractional coordinates):
Zr1 0.5775 0.4225 0.5000  4 P 2.74, 7 Ir 2.84-2.93, 2 Zr 3.00
P1 0.1897 0.8103 0.0000  2 Ir 2.33
Ir1 0.9447 0.0553 0.0000  1 P 2.66, 4 Zr 2.84, 4 Ir 2.86
Ir2 0.3093 0.6907 0.5000  2 P 2.33

2.
First-principles (PBE) data for crystalline ZrP3Ir at its relaxed geometry, as listed in Alexandria.

Summary:
Calculated formation energy: 28.68 kcal/mol of atoms
DFT total energy: -27.42 eV for the cell shown
Energy above the most stable polymorph in this dataset: 800.2 meV/atom
Space-group type: Pm-3m, No. 221

Cell: 4.9023 4.9023 4.9023 Å, 90.00 90.00 90.00°
Closest atoms and distances in Å follow each position.
Atoms (fractional coordinates):
P1 0.0000 0.5000 0.0000  2 Zr 2.45
P2 0.0000 0.0000 0.5000  2 Zr 2.45
P3 0.5000 0.0000 0.0000  2 Zr 2.45
Ir1 0.5000 0.5000 0.5000  12 P 3.47
Zr1 0.0000 0.0000 0.0000  6 P 2.45